A plane-wave DFT calculation with PBE was carried out for a geometry-optimized CsRb2Ba2 structure.

Calculated values
The space-group type is No. 127. Its energy above the most stable polymorph in this dataset is 0 meV/atom. For the total moment, the calculation gives 0.00 μB/atom. Its formation energy from the elements is 0.9 eV/f.u.

a b c (Å): 13.564 13.564 4.639
angles (deg): 90.00 90.00 90.00
Element x y z (fractional)
Cs 0.000 0.000 0.000
Cs 0.500 0.500 0.000
Rb 0.319 0.181 0.500
Rb 0.181 0.681 0.500
Ba 0.388 0.888 0.000
Ba 0.112 0.388 0.000
Ba 0.888 0.612 0.000
Rb 0.819 0.319 0.500
Rb 0.681 0.819 0.500
Ba 0.612 0.112 0.000